1.
DFT (PBEsol) results for a geometry-optimized CaSn2S5 structure.

Properties
Energy above the most stable polymorph in this dataset, eV per formula unit: 0.00
Raw formation energy, eV per formula unit: -6.3

Unit cell a=9.3480 b=10.6174 c=7.3794 alpha=90.00 beta=90.00 gamma=90.00
Space group Pbam (No. 55)
Asymmetric unit:
Ca (0.1191, 0.1705, 0.0000)
Sn (0.0000, 0.5000, 0.2364)
Sn (0.1071, 0.8492, 0.5000)
S (0.0000, 0.0000, 0.2735)
S (0.1270, 0.7102, 0.2262)
S (0.1343, 0.3905, 0.5000)
S (0.1815, 0.4350, 0.0000)

=====

2.
DFT (PBEsol) results for a geometry-optimized CaSnS3 structure.

Properties
Energy above the most stable polymorph in this dataset, eV per formula unit: 0.16
Raw formation energy, eV per formula unit: -5.3
DOS at the Fermi energy, states/eV per cell: 0.0

Unit cell a=6.6498 b=6.6498 c=18.4139 alpha=90.00 beta=90.00 gamma=120.00
Space group R-3 (No. 148, hexagonal axes)
Asymmetric unit:
Ca (0.0000, 0.0000, 0.1418)
Sn (0.0000, 0.0000, 0.3428)
S (0.0186, 0.3839, 0.9203)

=====

3.
DFT (PBEsol) results for a geometry-optimized CaSnS3 structure.

Properties
Energy above the most stable polymorph in this dataset, eV per formula unit: 0.10
Raw formation energy, eV per formula unit: -5.3

Unit cell a=3.7268 b=12.1513 c=9.3080 alpha=90.00 beta=90.00 gamma=90.00
Space group Cmcm (No. 63)
Asymmetric unit:
Ca (0.0000, 0.2474, 0.2500)
Sn (0.0000, 0.5000, 0.0000)
S (0.0000, 0.1441, 0.5461)
S (0.0000, 0.4201, 0.7500)

=====

Q: energy above the most stable polymorph in this dataset of number 2 (CaSnS3)?
A: 0.16 eV per formula unit